This record from the Alexandria database describes a geometry-optimized Pm2PaTe2N2 structure. The functional is PBE-GGA.

Values from the calculation:
E_form (uncorrected), meV per atom: -1369
Symmetry: No. 139
DOS(E_F), states/eV per atom: 0.60
Crystal system: tetragonal
Total DFT energy (no corrections), eV/atom: -7.3595

a = 4.432 Å, b = 4.432 Å, c = 8.873 Å
α = 104.46°, β = 104.46°, γ = 90.00°
Fractional positions:
Te 0.186 0.186 0.371
Te 0.814 0.814 0.629
Pm 0.394 0.394 0.789
Pm 0.606 0.606 0.211
N 0.500 0.000 0.000
N 0.000 0.500 0.000
Pa 0.000 0.000 0.000